Below is an optimized crystal structure of Rb3AgAu2Br9, with properties calculated at the PBE level.

* symmetry: P-3m1 (164)
* formation energy from raw total energies: -823 meV/atom
* VASP energy: -2.65 eV/atom

a = 7.6850 Å, b = 7.6850 Å, c = 9.4211 Å
α = 90.00°, β = 90.00°, γ = 120.00°
Closest atoms and distances in Å follow each position.
Element x y z (fractional)
Rb1 0.0000 0.0000 0.0000  12 Br 3.81-3.84
Rb2 0.3333 0.6667 0.6597  12 Br 3.82-3.90
Rb3 0.6667 0.3333 0.3403  12 Br 3.82-3.90
Ag1 0.0000 0.0000 0.5000  6 Br 2.75
Au1 0.3333 0.6667 0.1650  6 Br 2.69-2.71
Au2 0.6667 0.3333 0.8350  6 Br 2.69-2.71
Br1 0.0000 0.5000 0.0000  2 Au 2.71
Br2 0.1674 0.3347 0.3287  1 Au 2.69, 1 Ag 2.75
Br3 0.1674 0.8326 0.3287  1 Au 2.69, 1 Ag 2.75
Br4 0.3347 0.1674 0.6713  1 Au 2.69, 1 Ag 2.75
Br5 0.5000 0.0000 0.0000  2 Au 2.71
Br6 0.5000 0.5000 0.0000  2 Au 2.71
Br7 0.6653 0.8326 0.3287  1 Au 2.69, 1 Ag 2.75
Br8 0.8326 0.1674 0.6713  1 Au 2.69, 1 Ag 2.75
Br9 0.8326 0.6653 0.6713  1 Au 2.69, 1 Ag 2.75